Record 1
{"formula": "BePIr", "functional": "PBE", "state": "relaxed", "lattice": [[3.880, 0.000, 0.000], [1.940, 3.360, 0.000], [1.940, 1.120, 3.168]], "species": ["Ir", "Be", "P"], "fractional_positions": [[0.750, 0.750, 0.750], [0.500, 0.500, 0.500], [0.000, 0.000, 0.000]], "energy_ev_per_atom": -6.26, "magnetic_moment_mub_per_fu": 0.00, "crystal_system": "cubic", "polymorph_energy_kj_per_mol_fu": 0, "ef_ev_per_atom": -0.2570}

Record 2
{"formula": "GaHgPt2", "functional": "PBE", "state": "relaxed", "lattice": [[2.950, 0.000, 0.000], [0.000, 2.950, 0.000], [0.000, 0.000, 7.715]], "species": ["Hg", "Pt", "Pt", "Ga"], "fractional_positions": [[0.500, 0.500, 0.500], [0.000, 0.000, 0.790], [0.000, 0.000, 0.210], [0.500, 0.500, 0.000]], "energy_ev_per_atom": -4.17, "magnetic_moment_mub_per_fu": 0.00, "crystal_system": "tetragonal", "polymorph_energy_kj_per_mol_fu": 0, "ef_ev_per_atom": -0.3148}

Number 1: density 9.33 Mg/m³. Number 2: density 16.33 Mg/m³.